[1]
The following is a DFT calculation (PBE-GGA) of a relaxed structure of ScFe2As.

Properties
For the calculated total energy, the calculation gives -28.5 eV for the cell shown. The symmetry is P2/m.

Unit cell a=3.0976 b=4.1701 c=4.8459 alpha=90.00 beta=93.02 gamma=90.00
With the nearest neighbours (Å) after each atom.
Atoms (fractional coordinates):
Sc 0.0000 0.0000 0.0000  8 Fe 2.76-2.95, 4 As 2.81-2.94
Fe 0.4242 0.5000 0.7566  2 Fe 2.38-2.56, 2 As 2.45
Fe 0.5758 0.5000 0.2434  2 Fe 2.38-2.56, 2 As 2.45
As 0.5000 0.0000 0.5000  4 Fe 2.45



[2]
The following is a DFT calculation (PBE-GGA) of a relaxed structure of Sc6Fe2As.

Properties
For the calculated total energy, the calculation gives -125.8 eV for the cell shown. The symmetry is Immm.

Unit cell a=7.6920 b=7.6920 c=7.6920 alpha=111.67 beta=109.62 gamma=107.15
With the nearest neighbours (Å) after each atom.
Atoms (fractional coordinates):
Sc 0.0156 0.8159 0.1998  3 Fe 2.54-2.68
Sc 0.2377 0.5278 0.2902  2 Fe 2.58-2.84, 1 As 2.83
Sc 0.2377 0.9475 0.7098  2 Fe 2.58-2.84, 1 As 2.83
Sc 0.2755 0.3157 0.5912  3 Fe 2.76-2.93, 1 As 2.92
Sc 0.2755 0.6843 0.9597  3 Fe 2.76-2.93, 1 As 2.92
Sc 0.3839 0.1841 0.1998  3 Fe 2.54-2.68
Sc 0.6161 0.8159 0.8002  3 Fe 2.54-2.68
Sc 0.7245 0.3157 0.0403  3 Fe 2.76-2.93, 1 As 2.92
Sc 0.7245 0.6843 0.4088  3 Fe 2.76-2.93, 1 As 2.92
Sc 0.7623 0.0525 0.2902  2 Fe 2.58-2.84, 1 As 2.83
Sc 0.7623 0.4722 0.7098  2 Fe 2.58-2.84, 1 As 2.83
Sc 0.9844 0.1841 0.8002  3 Fe 2.54-2.68
Fe 0.0000 0.1282 0.1282  1 Fe 2.22
Fe 0.0000 0.8718 0.8718  1 Fe 2.22
Fe 0.3842 0.3842 0.0000  1 Fe 2.12
Fe 0.6158 0.6158 0.0000  1 Fe 2.12
As 0.0000 0.5000 0.5000  8 Sc 2.83-2.92
As 0.5000 0.0000 0.5000  8 Sc 3.00-3.15



[3]
The following is a DFT calculation (PBE-GGA) of a relaxed structure of Sc4FeAs.

Properties
For the calculated total energy, the calculation gives -35.8 eV for the cell shown. The symmetry is F-43m.

Unit cell a=5.6539 b=5.6539 c=5.6539 alpha=60.00 beta=60.00 gamma=60.00
With the nearest neighbours (Å) after each atom.
Atoms (fractional coordinates):
Sc 0.1255 0.1255 0.1255  6 Sc 2.82-2.84
Sc 0.1255 0.1255 0.6235  6 Sc 2.82-2.84
Sc 0.1255 0.6235 0.1255  6 Sc 2.82-2.84
Sc 0.6235 0.1255 0.1255  6 Sc 2.82-2.84
Fe 0.5000 0.5000 0.5000  12 Sc 3.31, 4 As 3.46
As 0.7500 0.7500 0.7500  12 Sc 3.32, 4 Fe 3.46



[4]
The following is a DFT calculation (PBE-GGA) of a relaxed structure of ScFe2As.

Properties
For the calculated total energy, the calculation gives -28.8 eV for the cell shown. The symmetry is Imm2.

Unit cell a=4.8658 b=4.8658 c=4.8658 alpha=138.61 beta=129.29 gamma=67.45
With the nearest neighbours (Å) after each atom.
Atoms (fractional coordinates):
Sc 0.0000 0.0000 0.0000  8 Fe 2.70-2.81, 4 As 2.77-2.80
Fe 0.2669 0.7669 0.5000  2 Fe 2.52, 4 As 2.72, 4 Sc 2.76-2.81
Fe 0.4949 0.4949 0.0000  2 Fe 2.52, 2 As 2.58, 4 Sc 2.70
As 0.7318 0.2318 0.5000  6 Fe 2.58-2.72, 4 Sc 2.77-2.80



[5]
The following is a DFT calculation (PBE-GGA) of a relaxed structure of ScFeAsSe2.

Properties
The energy above the most stable polymorph in this dataset comes out at 431 meV per atom. The symmetry is P4/mmm.

Unit cell a=5.0722 b=5.0722 c=5.1378 alpha=90.00 beta=90.00 gamma=90.00
With the nearest neighbours (Å) after each atom.
Atoms (fractional coordinates):
Sc 0.0000 0.0000 0.0000  4 Se 2.54, 2 As 2.57
Fe 0.5000 0.5000 0.5000  4 As 3.59, 8 Se 3.61
As 0.0000 0.0000 0.5000  2 Sc 2.57
Se 0.0000 0.5000 0.0000  2 Sc 2.54
Se 0.5000 0.0000 0.0000  2 Sc 2.54



[6]
The following is a DFT calculation (PBE-GGA) of a relaxed structure of ScFeAsSe2.

Properties
The energy above the most stable polymorph in this dataset comes out at 0 meV per atom. The symmetry is P4/mmm.

Unit cell a=4.8634 b=4.8634 c=4.4299 alpha=90.00 beta=90.00 gamma=90.00
With the nearest neighbours (Å) after each atom.
Atoms (fractional coordinates):
Sc 0.0000 0.0000 0.0000  8 Se 3.29, 4 As 3.44
Fe 0.5000 0.5000 0.5000  2 As 2.21, 4 Se 2.43
As 0.5000 0.5000 0.0000  2 Fe 2.21
Se 0.0000 0.5000 0.5000  2 Fe 2.43
Se 0.5000 0.0000 0.5000  2 Fe 2.43